Entry 1:
The following is a DFT calculation (PBEsol) of crystalline ZrS2 at its relaxed geometry.

Size of the total moment = 0.0 μB/cell
E_form (uncorrected) = -1.566 eV/atom
Calculated density = 3.9 g/cm3

Geometry as CIF:
```
data_ZrS2
_cell_length_a 3.6219
_cell_length_b 3.6219
_cell_length_c 5.7996
_cell_angle_alpha 90.00
_cell_angle_beta 90.00
_cell_angle_gamma 120.00
_space_group_name_H-M_alt 'P -3 m 1'
_space_group_IT_number 164
_space_group_name_Hall '-P 3 2"'
loop_
_atom_site_label
_atom_site_type_symbol
_atom_site_fract_x
_atom_site_fract_y
_atom_site_fract_z
Zr1 Zr 0.0000 0.0000 0.0000
S1 S 0.3333 0.6667 0.2512
```



Entry 2:
The following is a DFT calculation (PBEsol) of crystalline CoTe2Rh at its relaxed geometry.

Size of the total moment = 0.0 μB/cell
E_form (uncorrected) = -0.051 eV/atom
Calculated density = 8.8 g/cm3

Geometry as CIF:
```
data_CoTe2Rh
_cell_length_a 4.5860
_cell_length_b 4.9334
_cell_length_c 6.9405
_cell_angle_alpha 90.00
_cell_angle_beta 90.00
_cell_angle_gamma 90.00
_space_group_name_H-M_alt 'A m m 2'
_space_group_IT_number 38
loop_
_space_group_symop_operation_xyz
'x,y,z'
'-x,-y,z'
'-x,y,z'
'x,-y,z'
'x,y+1/2,z+1/2'
'-x,-y+1/2,z+1/2'
'-x,y+1/2,z+1/2'
'x,-y+1/2,z+1/2'
loop_
_atom_site_label
_atom_site_type_symbol
_atom_site_fract_x
_atom_site_fract_y
_atom_site_fract_z
Co1 Co 0.0000 0.0000 0.0000
Te1 Te 0.0000 0.0000 0.6234
Te2 Te 0.5000 0.0000 0.1727
Rh1 Rh 0.5000 0.0000 0.8023
```



Entry 3:
The following is a DFT calculation (PBEsol) of crystalline Ba2Li2Ag at its relaxed geometry.

Size of the total moment = 0.0 μB/cell
Calculated density = 3.9 g/cm3
Formation energy = -0.029 eV per atom

Geometry as CIF:
```
data_Ba2Li2Ag
_cell_length_a 4.0674
_cell_length_b 4.0674
_cell_length_c 20.1655
_cell_angle_alpha 90.00
_cell_angle_beta 90.00
_cell_angle_gamma 90.00
_space_group_name_H-M_alt 'I 4/m m m'
_space_group_IT_number 139
_space_group_name_Hall '-I 4 2'
loop_
_atom_site_label
_atom_site_type_symbol
_atom_site_fract_x
_atom_site_fract_y
_atom_site_fract_z
Ba1 Ba 0.0000 0.0000 0.0948
Li1 Li 0.0000 0.5000 0.2500
Ag1 Ag 0.0000 0.0000 0.5000
```